Record 1
{
  "formula": "LaLuSe3",
  "functional": "PBE",
  "state": "relaxed",
  "rho_g_cm3": 6.8,
  "crystal_system": "orthorhombic",
  "energy_ev_per_atom": -5.94,
  "lattice_angstrom": [[2.038, -6.576, 0.000], [2.038, 6.576, 0.000], [0.000, 0.000, 10.000]],
  "species": ["Se", "Se", "Se", "Se", "Se", "Se", "Lu", "Lu", "La", "La"],
  "frac_coords": [[0.143, 0.860, 0.439], [0.140, 0.857, 0.061], [0.417, 0.583, 0.250], [0.860, 0.143, 0.561], [0.583, 0.417, 0.750], [0.857, 0.140, 0.939], [0.498, 0.498, 0.000], [0.502, 0.502, 0.500], [0.753, 0.247, 0.250], [0.247, 0.753, 0.750]]
}


Record 2
{
  "formula": "ErPtF7",
  "functional": "PBE",
  "state": "relaxed",
  "rho_g_cm3": 7.2,
  "crystal_system": "monoclinic",
  "energy_ev_per_atom": -5.18,
  "lattice_angstrom": [[-0.063, 10.161, 3.677], [-3.641, -1.287, 3.494], [5.860, -4.258, 4.538]],
  "species": ["F", "F", "F", "F", "F", "F", "F", "F", "F", "F", "F", "F", "F", "F", "F", "F", "F", "F", "F", "F", "F", "F", "F", "F", "F", "F", "F", "F", "Er", "Er", "Er", "Er", "Pt", "Pt", "Pt", "Pt"],
  "frac_coords": [[0.952, 0.251, 0.938], [0.228, 0.387, 0.189], [0.592, 0.924, 0.894], [0.634, 0.938, 0.344], [0.272, 0.887, 0.311], [0.185, 0.070, 0.926], [0.685, 0.430, 0.426], [0.539, 0.412, 0.806], [0.866, 0.438, 0.156], [0.315, 0.570, 0.574], [0.861, 0.793, 0.387], [0.548, 0.751, 0.562], [0.815, 0.930, 0.074], [0.908, 0.424, 0.606], [0.134, 0.562, 0.844], [0.039, 0.088, 0.306], [0.092, 0.576, 0.394], [0.728, 0.113, 0.689], [0.452, 0.249, 0.438], [0.048, 0.749, 0.062], [0.772, 0.613, 0.811], [0.639, 0.293, 0.113], [0.366, 0.062, 0.656], [0.361, 0.707, 0.887], [0.961, 0.912, 0.694], [0.139, 0.207, 0.613], [0.461, 0.588, 0.194], [0.408, 0.076, 0.106], [0.237, 0.236, 0.423], [0.763, 0.764, 0.577], [0.263, 0.736, 0.077], [0.737, 0.264, 0.923], [0.958, 0.758, 0.229], [0.042, 0.242, 0.771], [0.458, 0.742, 0.729], [0.542, 0.258, 0.271]]
}